No. 1
An optimized crystal structure of Ca3Ac5Cl12, computed with PBE.

```
Ca3Ac5Cl12
1.0
-4.134 14.792 0.987
-9.941 -8.647 7.954
14.139 -1.774 5.816
Ca Ac Cl
12 20 48
Direct
0.750 0.375 0.125 Ca
0.875 0.750 0.125 Ca
0.375 0.750 0.625 Ca
0.250 0.125 0.375 Ca
0.875 0.125 0.250 Ca
0.375 0.625 0.250 Ca
0.625 0.375 0.750 Ca
0.125 0.875 0.750 Ca
0.750 0.875 0.625 Ca
0.625 0.250 0.375 Ca
0.125 0.250 0.875 Ca
0.250 0.625 0.875 Ca
0.125 0.375 0.250 Ac
0.000 0.500 0.000 Ac
0.000 0.000 0.000 Ac
0.375 0.250 0.125 Ac
0.500 0.000 0.500 Ac
0.500 0.500 0.000 Ac
0.125 0.750 0.375 Ac
0.750 0.125 0.875 Ac
0.750 0.625 0.375 Ac
0.375 0.125 0.750 Ac
0.625 0.875 0.250 Ac
0.500 0.500 0.500 Ac
0.500 0.000 0.000 Ac
0.000 0.000 0.500 Ac
0.250 0.375 0.625 Ac
0.250 0.875 0.125 Ac
0.000 0.500 0.500 Ac
0.875 0.250 0.625 Ac
0.625 0.750 0.875 Ac
0.875 0.625 0.750 Ac
0.712 0.173 0.058 Cl
0.346 0.558 0.385 Cl
0.942 0.327 0.288 Cl
0.558 0.212 0.173 Cl
0.539 0.712 0.654 Cl
0.942 0.615 0.154 Cl
0.346 0.788 0.461 Cl
0.115 0.961 0.173 Cl
0.615 0.942 0.654 Cl
0.712 0.539 0.154 Cl
0.788 0.442 0.327 Cl
0.846 0.885 0.058 Cl
0.173 0.712 0.558 Cl
0.327 0.385 0.039 Cl
0.039 0.885 0.327 Cl
0.461 0.173 0.615 Cl
0.039 0.154 0.212 Cl
0.442 0.654 0.115 Cl
0.846 0.961 0.288 Cl
0.173 0.461 0.115 Cl
0.327 0.942 0.788 Cl
0.615 0.673 0.461 Cl
0.885 0.846 0.558 Cl
0.788 0.346 0.961 Cl
0.385 0.327 0.539 Cl
0.115 0.154 0.442 Cl
0.212 0.654 0.039 Cl
0.154 0.039 0.712 Cl
0.673 0.058 0.212 Cl
0.827 0.539 0.885 Cl
0.558 0.346 0.885 Cl
0.539 0.827 0.385 Cl
0.961 0.846 0.788 Cl
0.961 0.115 0.673 Cl
0.827 0.288 0.442 Cl
0.154 0.115 0.942 Cl
0.673 0.615 0.961 Cl
0.385 0.058 0.346 Cl
0.288 0.461 0.846 Cl
0.212 0.558 0.673 Cl
0.885 0.039 0.827 Cl
0.654 0.212 0.539 Cl
0.442 0.788 0.827 Cl
0.058 0.385 0.846 Cl
0.461 0.288 0.346 Cl
0.058 0.673 0.712 Cl
0.654 0.442 0.615 Cl
0.288 0.827 0.942 Cl
```

Summary:
M_tot ... 3.145 μB per formula unit
E_form (uncorrected) ... -1.69 eV/atom



No. 2
An optimized crystal structure of CaAc2Cl8, computed with PBE.

```
CaAc2Cl8
1.0
4.988 0.000 0.000
-2.494 8.070 -1.493
0.000 0.021 9.050
Ca Ac Cl
1 2 8
Direct
0.500 0.000 0.000 Ca
0.740 0.480 0.738 Ac
0.260 0.520 0.262 Ac
0.432 0.864 0.251 Cl
0.719 0.437 0.090 Cl
0.814 0.628 0.456 Cl
0.918 0.836 0.863 Cl
0.186 0.372 0.544 Cl
0.281 0.563 0.910 Cl
0.568 0.136 0.749 Cl
0.082 0.164 0.137 Cl
```

Summary:
M_tot ... 0.000 μB per formula unit
E_form (uncorrected) ... -2.37 eV/atom



No. 3
An optimized crystal structure of Ca2AcCl, computed with PBE.

```
Ca2AcCl
1.0
3.896 0.000 0.000
1.948 3.374 0.000
1.948 1.125 10.511
Ac Ca Cl
1 2 1
Direct
0.500 0.500 0.500 Ac
0.733 0.733 0.802 Ca
0.267 0.267 0.198 Ca
0.000 0.000 0.000 Cl
```

Summary:
M_tot ... 0.000 μB per formula unit
E_form (uncorrected) ... -0.82 eV/atom



No. 4
An optimized crystal structure of Cs2CaAcCl6, computed with PBE.

```
Cs2CaAcCl6
1.0
7.536 0.000 0.000
0.000 8.598 0.000
0.000 0.000 11.324
Cs Ca Ac Cl
4 2 2 12
Direct
0.500 0.744 0.259 Cs
0.000 0.256 0.759 Cs
0.500 0.744 0.741 Cs
0.000 0.256 0.241 Cs
0.000 0.748 0.500 Ca
0.500 0.252 0.000 Ca
0.500 0.247 0.500 Ac
0.000 0.753 0.000 Ac
0.500 0.254 0.244 Cl
0.500 0.254 0.756 Cl
0.000 0.746 0.256 Cl
0.000 0.746 0.744 Cl
0.262 0.969 0.500 Cl
0.738 0.969 0.500 Cl
0.261 0.525 0.500 Cl
0.739 0.525 0.500 Cl
0.761 0.475 0.000 Cl
0.239 0.475 0.000 Cl
0.238 0.031 0.000 Cl
0.762 0.031 0.000 Cl
```

Summary:
M_tot ... 0.898 μB per formula unit
E_form (uncorrected) ... -2.08 eV/atom



No. 5
An optimized crystal structure of CaAcGeCl, computed with PBE.

```
CaAcGeCl
1.0
-3.518 0.109 -2.850
-1.545 -3.840 -1.839
-6.165 -2.074 3.933
Ca Ac Ge Cl
1 1 1 1
Direct
0.455 0.455 0.634 Ca
0.933 0.933 0.201 Ac
0.192 0.192 0.425 Ge
0.696 0.696 0.911 Cl
```

Summary:
Distance to the lowest polymorph of the same formula ... 0 meV per atom
M_tot ... 0.000 μB per formula unit
E_form (uncorrected) ... -1.22 eV/atom



No. 6
An optimized crystal structure of CaAcGeCl, computed with PBE.

```
CaAcGeCl
1.0
5.357 0.000 0.000
2.679 4.639 0.000
2.679 1.546 4.374
Ac Ca Ge Cl
1 1 1 1
Direct
0.500 0.500 0.500 Ac
0.000 0.000 0.000 Ca
0.250 0.250 0.250 Ge
0.750 0.750 0.750 Cl
```

Summary:
Distance to the lowest polymorph of the same formula ... 104 meV per atom
M_tot ... 0.000 μB per formula unit
E_form (uncorrected) ... -1.11 eV/atom



Question: The highest E_form (uncorrected) belongs to which entry?
Answer: Ca2AcCl



Question: M_tot of number 5 (CaAcGeCl)?
Answer: 0.000 μB per formula unit



Question: Among the records above, which one has the highest M_tot?
Answer: Ca3Ac5Cl12